The following is a PBE calculation of a geometry-optimized La2Tb3Pr2 structure, from the Alexandria database. Values from VASP.

Values from the calculation:
- Total moment: 0.00 Bohr magnetons per cell
- DFT formation energy: 16 kJ/mol of formula units
- Crystal system: monoclinic

The structure in Quantum ESPRESSO input format:
```
&SYSTEM
  ibrav = 0, nat = 7, ntyp = 3
/
ATOMIC_SPECIES
Pr 140.91 Pr.upf
La 138.91 La.upf
Tb 158.93 Tb.upf
CELL_PARAMETERS angstrom
5.730 -0.824 -2.615
-3.512 5.197 1.027
-1.422 1.152 9.554
ATOMIC_POSITIONS angstrom
Pr -0.240 3.518 0.985
La 2.996 1.860 0.947
Tb 0.000 0.000 0.000
La -2.200 3.666 7.019
Tb 0.279 4.519 4.463
Tb 0.517 1.007 3.503
Pr 1.036 2.008 6.981
```

***

The following is a PBE calculation of a geometry-optimized YInTeF2 structure, from the Alexandria database. Values from VASP.

Values from the calculation:
- Energy relative to the elements, uncorrected: -2.31 eV per atom
- Total moment: 0.00 Bohr magnetons per cell
- Crystal system: tetragonal

The structure in Quantum ESPRESSO input format:
```
&SYSTEM
  ibrav = 0, nat = 5, ntyp = 4
/
ATOMIC_SPECIES
Te 127.60 Te.upf
Y 88.91 Y.upf
In 114.82 In.upf
F 19.00 F.upf
CELL_PARAMETERS angstrom
-1.010 3.229 -3.004
2.010 -2.406 -3.262
-5.348 -2.811 -1.223
ATOMIC_POSITIONS angstrom
Te -2.674 -1.406 -0.611
Y 0.000 0.000 0.000
In -2.174 -0.994 -3.744
F -0.505 1.614 -1.502
F 1.005 -1.203 -1.631
```